The following is a PBE calculation of a geometry-optimized Cs2NiSbSe4 structure, from the Alexandria database.

Computed properties:
Formation energy from raw total energies ... -0.56 eV/atom
Electronic total energy ... -0.1379 hartree per atom

The structure in extended XYZ format:
```
16
Lattice="0.000 6.377 12.577 3.533 0.000 12.577 3.533 6.377 0.000" Properties=species:S:1:pos:R:3 pbc="T T T"
Cs 2.650 4.783 1.530
Cs 4.417 7.971 7.819
Cs 2.650 4.783 17.335
Cs 4.417 7.971 23.624
Ni 2.650 4.783 9.433
Ni 4.417 7.971 15.721
Sb 0.883 1.594 3.144
Sb 6.183 11.159 22.010
Se 4.201 3.990 7.866
Se 4.201 5.575 10.999
Se 5.968 8.764 14.155
Se 5.968 7.178 17.288
Se 1.099 5.575 7.866
Se 1.099 3.990 10.999
Se 2.866 7.178 14.155
Se 2.866 8.764 17.288
```